A.
First-principles (PBE) data for crystalline Cs2PtIBr6 at its relaxed geometry, as listed in the Alexandria database.

## Properties
Its size of the total moment is 0.0 μB per formula unit.

a = 7.947 Å, b = 7.947 Å, c = 8.254 Å
α = 61.22°, β = 61.22°, γ = 90.00°
Fractional coordinates of all 10 atoms:
Cs (0.750, 0.250, 0.500)
Cs (0.250, 0.750, 0.500)
I (0.500, 0.500, 0.000)
Br (0.207, 0.207, 0.586)
Br (0.793, 0.793, 0.414)
Br (0.228, 0.228, 0.000)
Br (0.772, 0.772, 0.000)
Br (0.772, 0.228, 0.000)
Br (0.228, 0.772, 0.000)
Pt (0.000, 0.000, 0.000)


B.
First-principles (PBE) data for crystalline Cs2PtIBr6 at its relaxed geometry, as listed in the Alexandria database.

## Properties
Its size of the total moment is 1.1 μB per formula unit.

a = 7.760 Å, b = 7.760 Å, c = 17.607 Å
α = 77.27°, β = 77.27°, γ = 60.00°
Site moments in Bohr magnetons follow the coordinates.
Fractional coordinates of all 20 atoms:
Cs (0.864, 0.864, 0.409)  0.00
Cs (0.136, 0.136, 0.591)  0.00
Cs (0.694, 0.694, 0.918)  0.00
Cs (0.306, 0.306, 0.082)  0.00
Pt (0.000, 0.000, 0.000)  -0.04
Pt (0.500, 0.500, 0.500)  0.01
I (0.595, 0.595, 0.214)  0.46
I (0.405, 0.405, 0.786)  0.46
Br (0.834, 0.375, 0.415)  0.02
Br (0.375, 0.834, 0.415)  0.02
Br (0.375, 0.375, 0.415)  0.02
Br (0.166, 0.625, 0.585)  0.02
Br (0.625, 0.166, 0.585)  0.02
Br (0.625, 0.625, 0.585)  0.02
Br (0.724, 0.182, 0.912)  0.08
Br (0.182, 0.724, 0.912)  0.08
Br (0.182, 0.182, 0.912)  0.08
Br (0.276, 0.818, 0.088)  0.08
Br (0.818, 0.276, 0.088)  0.08
Br (0.818, 0.818, 0.088)  0.08


The energy of each structure relative to the most stable one, in meV per atom, is as follows: A 0; B 40.


A.
First-principles (PBE) data for crystalline CsSb2IBr at its relaxed geometry, as listed in the Alexandria database.

## Properties
Its size of the total moment is 2.8 μB per formula unit.

a = 6.559 Å, b = 6.559 Å, c = 6.630 Å
α = 90.00°, β = 90.00°, γ = 90.00°
Site moments in Bohr magnetons follow the coordinates.
Fractional coordinates of all 5 atoms:
Cs (0.000, 0.000, 0.000)  0.02
I (0.000, 0.000, 0.500)  -0.07
Br (0.500, 0.500, 0.500)  0.05
Sb (0.000, 0.500, 0.000)  0.54
Sb (0.500, 0.000, 0.000)  0.54


B.
First-principles (PBE) data for crystalline CsSb2IBr at its relaxed geometry, as listed in the Alexandria database.

## Properties
Its size of the total moment is 2.8 μB per formula unit.

a = 5.674 Å, b = 5.674 Å, c = 8.070 Å
α = 90.00°, β = 90.00°, γ = 90.00°
Site moments in Bohr magnetons follow the coordinates.
Fractional coordinates of all 5 atoms:
Cs (0.500, 0.500, 0.500)  0.01
I (0.000, 0.000, 0.500)  0.06
Br (0.000, 0.000, 0.000)  0.09
Sb (0.000, 0.500, 0.000)  0.49
Sb (0.500, 0.000, 0.000)  0.49


The energy of each structure relative to the most stable one, in meV per atom, is as follows: A 894; B 0.